1.
First-principles (PBE) data for a relaxed structure of ZrCd2HgH, as listed in Alexandria.

Properties
- energy (eV per atom) = -2.850
- magnetization (μB/f.u.) = 0.0

abc: 4.5561 4.5561 4.2577
angles: 90.00 90.00 90.00
Closest atoms and distances in Å follow each position.
Space group P4/mmm (No. 123)
Symmetry-distinct sites (fractional):
Zr 0.0000 0.0000 0.0000  2 H 2.13
Cd 0.0000 0.5000 0.5000  2 H 2.28
Hg 0.5000 0.5000 0.0000  8 Cd 3.12, 4 Zr 3.22
H 0.0000 0.0000 0.5000  2 Zr 2.13, 4 Cd 2.28

---

2.
First-principles (PBE) data for a relaxed structure of Ho2CdH, as listed in Alexandria.

Properties
- energy (eV per atom) = -3.604
- magnetization (μB/f.u.) = 0.0

abc: 3.5742 3.5742 23.2317
angles: 90.00 90.00 120.00
Closest atoms and distances in Å follow each position.
Space group R-3m (No. 166, hexagonal axes)
Symmetry-distinct sites (fractional):
Ho 0.0000 0.0000 0.2249  3 H 2.47
Cd 0.0000 0.0000 0.0000  6 Ho 3.26, 6 Cd 3.57
H 0.0000 0.0000 0.5000  6 Ho 2.47

---

3.
First-principles (PBE) data for a relaxed structure of HoCdH, as listed in Alexandria.

Properties
- relative energy among the computed polymorphs (meV per atom) = 0.0
- energy (eV per atom) = -3.224
- magnetization (μB/f.u.) = 0.0

abc: 3.6801 3.6801 5.0204
angles: 90.00 90.00 120.00
Closest atoms and distances in Å follow each position.
Space group P-6m2 (No. 187)
Symmetry-distinct sites (fractional):
Ho 0.0000 0.0000 0.0000  3 H 2.12
Cd 0.3333 0.6667 0.5000  6 Ho 3.29, 6 H 3.29, 6 Cd 3.68
H 0.6667 0.3333 0.0000  3 Ho 2.12

---

4.
First-principles (PBE) data for a relaxed structure of Ho4Cd2H, as listed in Alexandria.

Properties
- energy (eV per atom) = -3.529
- magnetization (μB/f.u.) = 0.0

abc: 4.7055 4.7055 15.6040
angles: 90.00 90.00 90.00
Closest atoms and distances in Å follow each position.
Space group I4/mmm (No. 139)
Symmetry-distinct sites (fractional):
Ho 0.0000 0.0000 0.1766  1 H 2.76, 1 Cd 2.99
Ho 0.0000 0.5000 0.0000  2 H 2.35
Cd 0.0000 0.0000 0.3679  5 Ho 2.99-3.13
H 0.0000 0.0000 0.0000  4 Ho 2.35

---

5.
First-principles (PBE) data for a relaxed structure of HoCdH, as listed in Alexandria.

Properties
- relative energy among the computed polymorphs (meV per atom) = 178.7
- energy (eV per atom) = -3.045
- magnetization (μB/f.u.) = 0.2

abc: 3.1637 3.1637 11.5202
angles: 90.00 90.00 90.00
Closest atoms and distances in Å follow each position.
Space group I4mm (No. 107)
Symmetry-distinct sites (fractional):
Ho 0.0000 0.0000 0.0000  4 H 2.28
Cd 0.0000 0.0000 0.2810  1 H 2.95, 4 Cd 3.16, 1 Ho 3.24
H 0.0000 0.0000 0.5366  4 Ho 2.28

---

6.
First-principles (PBE) data for a relaxed structure of HoCdH, as listed in Alexandria.

Properties
- relative energy among the computed polymorphs (meV per atom) = 34.8
- energy (eV per atom) = -3.189
- magnetization (μB/f.u.) = 0.0

abc: 11.2538 16.0065 5.2585
angles: 90.00 92.16 90.00
Closest atoms and distances in Å follow each position.
Space group Cm (No. 8)
Symmetry-distinct sites (fractional):
Ho 0.0000 0.0000 0.0000  3 H 2.13-2.17
Ho 0.0047 0.5000 0.3406  1 H 2.13
Ho 0.2158 0.1777 0.0252  3 H 2.09-2.24
Ho 0.2677 0.3850 0.3675  3 H 2.12-2.22
Ho 0.4925 0.2131 0.3861  2 H 2.15-2.17
Cd 0.0432 0.1018 0.5023  1 H 2.12
Cd 0.0912 0.3829 0.8678  3 H 3.07-3.22, 5 Ho 3.13-3.36, 1 Cd 3.25
Cd 0.2335 0.0000 0.3327  2 H 2.58, 3 Cd 2.84-2.86
Cd 0.3556 0.0000 0.8151  4 H 2.73-2.88, 1 Cd 2.84, 1 Ho 3.06
Cd 0.4084 0.3079 0.8867  1 Cd 2.95, 5 Ho 3.11-3.29, 1 H 3.22
H 0.1376 0.0735 0.8475  2 Ho 2.09-2.13, 1 Cd 2.12
H 0.1787 0.2623 0.3274  3 Ho 2.14-2.21
H 0.1871 0.5000 0.4616  3 Ho 2.12-2.13, 1 H 2.23
H 0.3292 0.5000 0.1776  3 Ho 2.17-2.22, 1 H 2.23
H 0.3753 0.1203 0.2221  2 Ho 2.15-2.24